# 1
# Dy2TmAgC

A relaxed structure of Dy2TmAgC (PBE-GGA, the Alexandria database).

Cell lengths 4.926, 4.926, 4.757 Å; angles 90.00, 90.00, 90.00 degrees
Space group P4/mmm (No. 123)
One atom of each set of equivalent atoms:
Dy1 0.000 0.500 0.000 x2
Tm1 0.000 0.000 0.500 x1
Ag1 0.500 0.500 0.500 x1
C1 0.000 0.000 0.000 x1

Density of states at the Fermi level ... 6.77 states/eV/cell
Energy of formation ... -0.2219 eV per atom

---

# 2
# MgAlHg2

A relaxed structure of MgAlHg2 (PBE-GGA, the Alexandria database).

Cell lengths 3.152, 3.152, 8.627 Å; angles 90.00, 90.00, 90.00 degrees
Space group P4mm (No. 99)
One atom of each set of equivalent atoms:
Mg1 0.000 0.000 0.000 x1
Al1 0.500 0.500 0.233 x1
Hg1 0.000 0.000 0.471 x1
Hg2 0.500 0.500 0.759 x1

Density of states at the Fermi level ... 1.40 states/eV/cell
Energy of formation ... 0.0273 eV per atom

---

# 3
# TaMn

A relaxed structure of TaMn (PBE-GGA, the Alexandria database).

Cell lengths 6.142, 6.142, 6.142 Å; angles 90.00, 90.00, 90.00 degrees
Space group Fd-3m (No. 227, origin choice 2)
One atom of each set of equivalent atoms:
Ta1 0.125 0.125 0.125 x8
Mn1 0.125 0.125 0.625 x8

Density of states at the Fermi level ... 22.12 states/eV/cell
Energy of formation ... 0.1267 eV per atom

---

# 4
# Mg2PtC2

A relaxed structure of Mg2PtC2 (PBE-GGA, the Alexandria database).

Cell lengths 3.887, 3.887, 8.450 Å; angles 90.00, 90.00, 90.00 degrees
Space group I4/mmm (No. 139)
One atom of each set of equivalent atoms:
Mg1 0.000 0.500 0.250 x4
Pt1 0.000 0.000 0.000 x2
C1 0.000 0.000 0.420 x4

Density of states at the Fermi level ... 0.29 states/eV/cell
Energy of formation ... 0.5902 eV per atom
Distance to the lowest polymorph of the same formula ... 179 kJ/mol of formula units

---

# 5
# SbP3

A relaxed structure of SbP3 (PBE-GGA, the Alexandria database).

Cell lengths 4.152, 4.152, 4.152 Å; angles 90.00, 90.00, 90.00 degrees
Space group Pm-3m (No. 221)
One atom of each set of equivalent atoms:
Sb1 0.000 0.000 0.000 x1
P1 0.000 0.500 0.500 x3

Density of states at the Fermi level ... 3.29 states/eV/cell
Formation energy without anion corrections ... 19.24 kcal/mol of atoms
Distance to the lowest polymorph of the same formula ... 246 kJ/mol of formula units

---

# 6
# MgFe3Sb

A relaxed structure of MgFe3Sb (PBE-GGA, the Alexandria database).

Cell lengths 4.756, 4.756, 4.756 Å; angles 90.00, 90.00, 90.00 degrees
Space group Pm-3m (No. 221)
One atom of each set of equivalent atoms:
Mg1 0.000 0.000 0.000 x1
Fe1 0.000 0.500 0.500 x3
Sb1 0.500 0.500 0.500 x1

Density of states at the Fermi level ... 13.33 states/eV/cell
Formation energy without anion corrections ... 24.01 kcal/mol of atoms
Distance to the lowest polymorph of the same formula ... 0 kJ/mol of formula units

---

# 7
# Cr3HgS

A relaxed structure of Cr3HgS (PBE-GGA, the Alexandria database).

Cell lengths 5.090, 5.090, 5.090 Å; angles 90.00, 90.00, 90.00 degrees
Space group Pm-3m (No. 221)
One atom of each set of equivalent atoms:
Cr1 0.000 0.000 0.500 x3
Hg1 0.000 0.000 0.000 x1
S1 0.500 0.500 0.500 x1

Density of states at the Fermi level ... 6.09 states/eV/cell
Formation energy without anion corrections ... 34.63 kcal/mol of atoms
Distance to the lowest polymorph of the same formula ... 515 kJ/mol of formula units

---

# 8
# Cs12Cu3O5

A relaxed structure of Cs12Cu3O5 (PBE-GGA, the Alexandria database).

Cell lengths 18.850, 18.850, 18.850 Å; angles 90.00, 90.00, 90.00 degrees
Space group Ia-3d (No. 230)
One atom of each set of equivalent atoms:
Cs1 0.033 0.050 0.648 x96
Cu1 0.000 0.250 0.125 x24
O1 0.000 0.000 0.000 x16
O2 0.000 0.250 0.375 x24

Density of states at the Fermi level ... 86.29 states/eV/cell
Formation energy without anion corrections ... -11.94 kcal/mol of atoms

---

# 9
# CdRh2

A relaxed structure of CdRh2 (PBE-GGA, the Alexandria database).

Cell lengths 4.4691, 4.4691, 2.8262 Å; angles 90.00, 90.00, 120.00 degrees
Space group P6/mmm (No. 191)
One atom of each set of equivalent atoms:
Cd1 0.0000 0.0000 0.0000 x1
Rh1 0.3333 0.6667 0.5000 x2

Density of states at the Fermi level ... 4.43 states/eV/cell
Energy of formation ... 0.0815 eV per atom

---

# 10
# K3Cd3In8

A relaxed structure of K3Cd3In8 (PBE-GGA, the Alexandria database).

Cell lengths 5.081, 11.053, 14.622 Å; angles 90.00, 90.00, 90.00 degrees
Space group Immm (No. 71)
One atom of each set of equivalent atoms:
K1 0.000 0.000 0.000 x2
K2 0.000 0.000 0.295 x4
Cd1 0.000 0.177 0.500 x4
Cd2 0.000 0.500 0.000 x2
In1 0.000 0.286 0.137 x8
In2 0.000 0.360 0.340 x8

Density of states at the Fermi level ... 10.06 states/eV/cell
Energy of formation ... -0.0995 eV per atom

---

# 11
# RbCdP3

A relaxed structure of RbCdP3 (PBE-GGA, the Alexandria database).

Cell lengths 5.160, 5.160, 5.160 Å; angles 90.00, 90.00, 90.00 degrees
Space group Pm-3m (No. 221)
One atom of each set of equivalent atoms:
Rb1 0.000 0.000 0.000 x1
Cd1 0.500 0.500 0.500 x1
P1 0.000 0.500 0.500 x3

Density of states at the Fermi level ... 5.40 states/eV/cell
Energy of formation ... 0.7725 eV per atom
Distance to the lowest polymorph of the same formula ... 0 kJ/mol of formula units

---

# 12
# V4GaPt

A relaxed structure of V4GaPt (PBE-GGA, the Alexandria database).

Cell lengths 4.391, 8.694, 4.429 Å; angles 90.00, 90.00, 90.00 degrees
Space group Cmmm (No. 65)
One atom of each set of equivalent atoms:
V1 0.000 0.174 0.000 x4
V2 0.000 0.318 0.500 x4
Ga1 0.000 0.000 0.500 x2
Pt1 0.000 0.500 0.000 x2

Density of states at the Fermi level ... 17.42 states/eV/cell
Energy of formation ... -0.2445 eV per atom
Distance to the lowest polymorph of the same formula ... 36 kJ/mol of formula units

---

# 13
# SrGd2Zr

A relaxed structure of SrGd2Zr (PBE-GGA, the Alexandria database).

Cell lengths 3.549, 3.549, 10.664 Å; angles 90.00, 90.00, 90.00 degrees
Space group P4/mmm (No. 123)
One atom of each set of equivalent atoms:
Sr1 0.000 0.000 0.000 x1
Gd1 0.500 0.500 0.296 x2
Zr1 0.000 0.000 0.500 x1

Density of states at the Fermi level ... 5.84 states/eV/cell
Energy of formation ... 0.1541 eV per atom
Distance to the lowest polymorph of the same formula ... 0 kJ/mol of formula units

---

# 14
# As3Au4

A relaxed structure of As3Au4 (PBE-GGA, the Alexandria database).

Cell lengths 3.634, 3.634, 20.216 Å; angles 90.00, 90.00, 90.00 degrees
Space group I4/mmm (No. 139)
One atom of each set of equivalent atoms:
As1 0.000 0.000 0.000 x2
As2 0.000 0.000 0.276 x4
Au1 0.000 0.000 0.138 x4
Au2 0.000 0.000 0.429 x4

Density of states at the Fermi level ... 2.74 states/eV/cell
Energy of formation ... 0.2063 eV per atom

---

# 15
# Er4OsPd2

A relaxed structure of Er4OsPd2 (PBE-GGA, the Alexandria database).

Cell lengths 4.8325, 4.8325, 23.9159 Å; angles 90.00, 90.00, 120.00 degrees
Space group R-3m (No. 166, hexagonal axes)
One atom of each set of equivalent atoms:
Er1 0.0000 0.0000 0.1219 x6
Er2 0.0000 0.0000 0.3730 x6
Os1 0.0000 0.0000 0.0000 x3
Pd1 0.0000 0.0000 0.2491 x6

Density of states at the Fermi level ... 9.44 states/eV/cell
Energy of formation ... -0.6093 eV per atom

---

# 16
# CsRbBi3

A relaxed structure of CsRbBi3 (PBE-GGA, the Alexandria database).

Cell lengths 6.541, 6.541, 6.541 Å; angles 90.00, 90.00, 90.00 degrees
Space group Pm-3m (No. 221)
One atom of each set of equivalent atoms:
Cs1 0.000 0.000 0.000 x1
Rb1 0.500 0.500 0.500 x1
Bi1 0.000 0.000 0.500 x3

Density of states at the Fermi level ... 7.66 states/eV/cell
Energy of formation ... 0.7770 eV per atom
Distance to the lowest polymorph of the same formula ... 65 kJ/mol of formula units

---

# 17
# Ce2Ni3Ge4Ru

A relaxed structure of Ce2Ni3Ge4Ru (PBE-GGA, the Alexandria database).

Cell lengths 4.141, 4.141, 9.841 Å; angles 90.00, 90.00, 90.00 degrees
Space group P-4m2 (No. 115)
One atom of each set of equivalent atoms:
Ce1 0.000 0.500 0.247 x2
Ni1 0.000 0.500 0.877 x2
Ni2 0.500 0.500 0.500 x1
Ge1 0.000 0.000 0.000 x1
Ge2 0.000 0.500 0.637 x2
Ge3 0.500 0.500 0.000 x1
Ru1 0.000 0.000 0.500 x1

Density of states at the Fermi level ... 8.67 states/eV/cell
Energy of formation ... -0.6773 eV per atom

---

# 18
# TiAgSnBr2

A relaxed structure of TiAgSnBr2 (PBE-GGA, the Alexandria database).

Cell lengths 5.274, 5.274, 5.509 Å; angles 90.00, 90.00, 90.00 degrees
Space group P4/mmm (No. 123)
One atom of each set of equivalent atoms:
Ti1 0.000 0.000 0.000 x1
Ag1 0.500 0.500 0.500 x1
Sn1 0.500 0.500 0.000 x1
Br1 0.000 0.500 0.500 x2

Density of states at the Fermi level ... 9.63 states/eV/cell
Formation energy without anion corrections ... 13.16 kcal/mol of atoms

---

# 19
# Er4TmTl2

A relaxed structure of Er4TmTl2 (PBE-GGA, the Alexandria database).

Cell lengths 6.678, 10.573, 6.007 Å; angles 90.00, 97.20, 90.00 degrees
Space group C2/m (No. 12)
One atom of each set of equivalent atoms:
Er1 0.000 0.205 0.000 x4
Er2 0.250 0.250 0.500 x4
Tm1 0.000 0.000 0.500 x2
Tl1 0.093 0.500 0.774 x4

Density of states at the Fermi level ... 18.89 states/eV/cell
Energy of formation ... 0.1140 eV per atom
Distance to the lowest polymorph of the same formula ... 11 kJ/mol of formula units

---

# 20
# Sm4GeP2S

A relaxed structure of Sm4GeP2S (PBE-GGA, the Alexandria database).

Cell lengths 7.151, 4.097, 7.155 Å; angles 90.00, 109.27, 90.00 degrees
Space group P2/m (No. 10)
One atom of each set of equivalent atoms:
Sm1 0.245 0.000 0.243 x2
Sm2 0.253 0.500 0.757 x2
Ge1 0.500 0.500 0.500 x1
P1 0.000 0.500 0.000 x1
P2 0.500 0.000 0.000 x1
S1 0.000 0.000 0.500 x1

Density of states at the Fermi level ... 1.42 states/eV/cell
Formation energy without anion corrections ... -35.31 kcal/mol of atoms

---

# 21
# NdAs2Pt7Pb2

A relaxed structure of NdAs2Pt7Pb2 (PBE-GGA, the Alexandria database).

Cell lengths 5.718, 5.719, 15.946 Å; angles 90.00, 100.30, 90.00 degrees
Space group C2/m (No. 12)
One atom of each set of equivalent atoms:
Nd1 0.000 0.000 0.000 x2
As1 0.118 0.500 0.236 x4
Pt1 0.000 0.500 0.000 x2
Pt2 0.179 0.250 0.857 x8
Pt3 0.197 0.500 0.391 x4
Pb1 0.213 0.000 0.425 x4

Density of states at the Fermi level ... 5.77 states/eV/cell
Energy of formation ... -0.4936 eV per atom

---

# 22
# Ho2US3

A relaxed structure of Ho2US3 (PBE-GGA, the Alexandria database).

Cell lengths 6.692, 11.602, 6.774 Å; angles 90.00, 109.26, 90.00 degrees
Space group C2/m (No. 12)
One atom of each set of equivalent atoms:
Ho1 0.000 0.000 0.000 x2
Ho2 0.000 0.165 0.500 x4
Ho3 0.000 0.500 0.500 x2
U1 0.000 0.334 0.000 x4
S1 0.249 0.000 0.748 x4
S2 0.249 0.334 0.748 x8

Density of states at the Fermi level ... 29.40 states/eV/cell
Formation energy without anion corrections ... -40.44 kcal/mol of atoms

---

# 23
# TaTl2Ge

A relaxed structure of TaTl2Ge (PBE-GGA, the Alexandria database).

Cell lengths 7.195, 7.195, 7.195 Å; angles 90.00, 90.00, 90.00 degrees
Space group Fm-3m (No. 225)
One atom of each set of equivalent atoms:
Ta1 0.000 0.000 0.000 x4
Tl1 0.250 0.250 0.250 x8
Ge1 0.000 0.000 0.500 x4

Density of states at the Fermi level ... 17.44 states/eV/cell
Energy of formation ... 0.9288 eV per atom
Distance to the lowest polymorph of the same formula ... 41 kJ/mol of formula units